[1]
# PBE-GGA BaAl2GeO6, optimized geometry
data_BaAl2GeO6
_chemical_formula_sum 'Ba2 Al4 Ge2 O12'
_cell_length_a 7.458
_cell_length_b 7.458
_cell_length_c 5.837
_cell_angle_alpha 102.62
_cell_angle_beta 102.62
_cell_angle_gamma 100.50
_symmetry_space_group_name_H-M 'P 1'
_symmetry_Int_Tables_number 1
loop_
_symmetry_equiv_pos_as_xyz
'x,y,z'
loop_
_atom_site_label
_atom_site_fract_x
_atom_site_fract_y
_atom_site_fract_z
Ba1 0.154 0.846 0.750
Ba2 0.846 0.154 0.250
Al1 0.175 0.329 0.852
Al2 0.329 0.175 0.352
Al3 0.671 0.825 0.648
Al4 0.825 0.671 0.148
Ge1 0.296 0.704 0.250
Ge2 0.704 0.296 0.750
O1 0.061 0.651 0.276
O2 0.185 0.214 0.089
O3 0.214 0.185 0.589
O4 0.307 0.569 0.969
O5 0.349 0.939 0.224
O6 0.431 0.693 0.531
O7 0.569 0.307 0.469
O8 0.651 0.061 0.776
O9 0.693 0.431 0.031
O10 0.786 0.815 0.411
O11 0.815 0.786 0.911
O12 0.939 0.349 0.724
# formation energy (no corrections)	-2.623	eV/atom
# spin magnetization	0.0	μB/f.u.
# crystal system	monoclinic

---

[2]
# PBE-GGA Ba2AlGeP, optimized geometry
data_Ba2AlGeP
_chemical_formula_sum 'Ba4 Al2 Ge2 P2'
_cell_length_a 7.967
_cell_length_b 4.420
_cell_length_c 9.932
_cell_angle_alpha 90.00
_cell_angle_beta 107.14
_cell_angle_gamma 90.00
_symmetry_space_group_name_H-M 'P 1'
_symmetry_Int_Tables_number 1
loop_
_symmetry_equiv_pos_as_xyz
'x,y,z'
loop_
_atom_site_label
_atom_site_fract_x
_atom_site_fract_y
_atom_site_fract_z
Ba1 0.198 0.250 0.407
Ba2 0.228 0.250 0.957
Ba3 0.772 0.750 0.043
Ba4 0.802 0.750 0.593
Al1 0.480 0.750 0.259
Al2 0.520 0.250 0.741
Ge1 0.344 0.750 0.701
Ge2 0.656 0.250 0.299
P1 0.178 0.750 0.176
P2 0.822 0.250 0.824
# calculated formation energy	-0.70	eV per atom
# spin magnetization	0.0	μB/f.u.
# crystal system	monoclinic

---

[3]
# PBE-GGA BaAlGe2Pb, optimized geometry
data_BaAlGe2Pb
_chemical_formula_sum 'Ba1 Al1 Ge2 Pb1'
_cell_length_a 4.995
_cell_length_b 4.995
_cell_length_c 6.083
_cell_angle_alpha 90.00
_cell_angle_beta 90.00
_cell_angle_gamma 90.00
_symmetry_space_group_name_H-M 'P 1'
_symmetry_Int_Tables_number 1
loop_
_symmetry_equiv_pos_as_xyz
'x,y,z'
loop_
_atom_site_label
_atom_site_fract_x
_atom_site_fract_y
_atom_site_fract_z
Ba1 0.000 0.000 0.000
Al1 0.000 0.000 0.500
Ge1 0.000 0.500 0.500
Ge2 0.500 0.000 0.500
Pb1 0.500 0.500 0.000
# calculated formation energy	0.26	eV per atom
# spin magnetization	0.0	μB/f.u.
# crystal system	tetragonal

---

[4]
# PBE-GGA Ba2AlGePb, optimized geometry
data_Ba2AlGePb
_chemical_formula_sum 'Ba2 Al1 Ge1 Pb1'
_cell_length_a 6.348
_cell_length_b 6.348
_cell_length_c 5.398
_cell_angle_alpha 90.00
_cell_angle_beta 90.00
_cell_angle_gamma 90.00
_symmetry_space_group_name_H-M 'P 1'
_symmetry_Int_Tables_number 1
loop_
_symmetry_equiv_pos_as_xyz
'x,y,z'
loop_
_atom_site_label
_atom_site_fract_x
_atom_site_fract_y
_atom_site_fract_z
Ba1 0.000 0.500 0.000
Ba2 0.500 0.000 0.000
Al1 0.000 0.000 0.500
Ge1 0.500 0.500 0.000
Pb1 0.500 0.500 0.500
# calculated formation energy	0.10	eV per atom
# spin magnetization	0.0	μB/f.u.
# crystal system	tetragonal